# 1
Entry from Alexandria via LeMat-Bulk: an optimized crystal structure of ErScNiGe (PBE). Values from VASP.

Geometry as Quantum ESPRESSO input:
```
&SYSTEM
  ibrav = 0, nat = 16, ntyp = 4
/
ATOMIC_SPECIES
Er 167.26 Er.upf
Sc 44.96 Sc.upf
Ni 58.69 Ni.upf
Ge 72.64 Ge.upf
CELL_PARAMETERS angstrom
6.718 0.000 0.000
0.000 6.718 0.000
0.000 0.000 6.718
ATOMIC_POSITIONS crystal
Er 0.000 0.000 0.000
Er 0.000 0.500 0.500
Er 0.500 0.000 0.500
Er 0.500 0.500 0.000
Sc 0.000 0.000 0.500
Sc 0.000 0.500 0.000
Sc 0.500 0.000 0.000
Sc 0.500 0.500 0.500
Ni 0.250 0.250 0.250
Ni 0.250 0.750 0.750
Ni 0.750 0.250 0.750
Ni 0.750 0.750 0.250
Ge 0.250 0.250 0.750
Ge 0.250 0.750 0.250
Ge 0.750 0.250 0.250
Ge 0.750 0.750 0.750
```

Computed properties:
The calculation puts the density of states at the Fermi level at 5.24 states/eV per cell. The formation energy comes out at -570.0 meV/atom.

=====

# 2
Entry from Alexandria via LeMat-Bulk: an optimized crystal structure of Er3SiNi9Ge2 (PBE). Values from VASP.

Geometry as Quantum ESPRESSO input:
```
&SYSTEM
  ibrav = 0, nat = 15, ntyp = 4
/
ATOMIC_SPECIES
Er 167.26 Er.upf
Si 28.09 Si.upf
Ni 58.69 Ni.upf
Ge 72.64 Ge.upf
CELL_PARAMETERS angstrom
6.006 0.000 0.000
-3.003 5.201 0.000
0.000 0.000 8.000
ATOMIC_POSITIONS crystal
Er 0.000 0.000 0.000
Er 0.333 0.667 0.681
Er 0.667 0.333 0.319
Si 0.000 0.000 0.500
Ni 0.000 0.500 0.000
Ni 0.135 0.270 0.287
Ni 0.135 0.865 0.287
Ni 0.270 0.135 0.713
Ni 0.500 0.000 0.000
Ni 0.500 0.500 0.000
Ni 0.730 0.865 0.287
Ni 0.865 0.135 0.713
Ni 0.865 0.730 0.713
Ge 0.333 0.667 0.193
Ge 0.667 0.333 0.807
```

Computed properties:
The value obtained for the uncorrected formation energy is -25.0 kJ per mole of atoms. The calculation puts the density of states at the Fermi level at 8.68 states/eV per cell.

=====

# 3
Entry from Alexandria via LeMat-Bulk: an optimized crystal structure of Er2SiNi4Ge3 (PBE). Values from VASP.

Geometry as Quantum ESPRESSO input:
```
&SYSTEM
  ibrav = 0, nat = 10, ntyp = 4
/
ATOMIC_SPECIES
Er 167.26 Er.upf
Si 28.09 Si.upf
Ni 58.69 Ni.upf
Ge 72.64 Ge.upf
CELL_PARAMETERS angstrom
4.024 0.000 0.000
0.000 4.024 0.000
0.000 0.000 9.633
ATOMIC_POSITIONS crystal
Er 0.000 0.500 0.249
Er 0.500 0.000 0.751
Si 0.500 0.500 0.000
Ni 0.000 0.000 0.500
Ni 0.000 0.500 0.876
Ni 0.500 0.000 0.124
Ni 0.500 0.500 0.500
Ge 0.000 0.000 0.000
Ge 0.000 0.500 0.633
Ge 0.500 0.000 0.367
```

Computed properties:
The value obtained for the uncorrected formation energy is -69.0 kJ per mole of atoms. The calculation puts the density of states at the Fermi level at 6.49 states/eV per cell.

=====

# 4
Entry from Alexandria via LeMat-Bulk: an optimized crystal structure of Er2Si2Ni5Ge (PBE). Values from VASP.

Geometry as Quantum ESPRESSO input:
```
&SYSTEM
  ibrav = 0, nat = 20, ntyp = 4
/
ATOMIC_SPECIES
Er 167.26 Er.upf
Si 28.09 Si.upf
Ni 58.69 Ni.upf
Ge 72.64 Ge.upf
CELL_PARAMETERS angstrom
9.525 0.000 0.000
0.000 9.525 0.000
0.000 0.000 3.245
ATOMIC_POSITIONS crystal
Er 0.178 0.322 0.000
Er 0.322 0.822 0.000
Er 0.678 0.178 0.000
Er 0.822 0.678 0.000
Si 0.121 0.621 0.000
Si 0.379 0.121 0.000
Si 0.621 0.879 0.000
Si 0.879 0.379 0.000
Ni 0.000 0.500 0.500
Ni 0.057 0.793 0.500
Ni 0.207 0.057 0.500
Ni 0.293 0.557 0.500
Ni 0.443 0.293 0.500
Ni 0.500 0.000 0.500
Ni 0.557 0.707 0.500
Ni 0.707 0.443 0.500
Ni 0.793 0.943 0.500
Ni 0.943 0.207 0.500
Ge 0.000 0.000 0.000
Ge 0.500 0.500 0.000
```

Computed properties:
The value obtained for the uncorrected formation energy is -46.4 kJ per mole of atoms. The calculation puts the density of states at the Fermi level at 17.27 states/eV per cell.